A plane-wave DFT calculation with PBE was carried out for a geometry-optimized TbNpBiO2 structure.

Formation energy from raw total energies: -2.31 eV/atom
SG: I4mm, No. 107
Uncorrected energy: -42.94 eV for the cell shown
Crystal system: tetragonal

Cell lengths 7.0881, 7.0881, 7.0881 Å; angles 147.75, 147.75, 46.25 degrees
Atoms (fractional coordinates):
1 Tb 0.0000 0.0000 0.0000
2 Np 0.3219 0.3219 0.0000
3 Bi 0.6615 0.6615 0.0000
4 O 0.4097 0.9097 0.5000
5 O 0.9097 0.4097 0.5000

A plane-wave DFT calculation with PBE was carried out for a geometry-optimized SiMoBr3 structure.

Formation energy from raw total energies: 0.56 eV/atom
SG: Pm-3m, No. 221
E above lowest polymorph: 0 meV/atom
Uncorrected energy: -18.48 eV for the cell shown
Crystal system: cubic

Cell lengths 5.2947, 5.2947, 5.2947 Å; angles 90.00, 90.00, 90.00 degrees
Atoms (fractional coordinates):
1 Si 0.0000 0.0000 0.0000
2 Mo 0.5000 0.5000 0.5000
3 Br 0.0000 0.5000 0.5000
4 Br 0.5000 0.0000 0.5000
5 Br 0.5000 0.5000 0.0000

A plane-wave DFT calculation with PBE was carried out for a geometry-optimized YCo2Mo structure.

Energy of formation from the pure elements: 0.0127 eV per atom
SG: R-3m, No. 166
E above lowest polymorph: 0 meV/atom
Uncorrected energy: -31.46 eV for the cell shown
Crystal system: trigonal

Cell lengths 5.3953, 5.3953, 5.3953 Å; angles 44.55, 44.55, 44.55 degrees
Atoms (fractional coordinates):
1 Y 0.0000 0.0000 0.0000
2 Co 0.2017 0.2017 0.2017
3 Co 0.7983 0.7983 0.7983
4 Mo 0.5000 0.5000 0.5000

A plane-wave DFT calculation with PBE was carried out for a geometry-optimized EuB4Ir4 structure.

Energy of formation from the pure elements: -0.5004 eV per atom
SG: P4_2/n, No. 86
Uncorrected energy: -153.86 eV for the cell shown
Crystal system: tetragonal

Cell lengths 7.7046, 7.7046, 3.9835 Å; angles 90.00, 90.00, 90.00 degrees
Atoms (fractional coordinates):
1 Eu 0.2500 0.2500 0.2500
2 Eu 0.7500 0.7500 0.7500
3 B 0.0288 0.5924 0.1418
4 B 0.0924 0.9712 0.6418
5 B 0.4076 0.5288 0.6418
6 B 0.4712 0.9076 0.1418
7 B 0.5288 0.0924 0.8582
8 B 0.5924 0.4712 0.3582
9 B 0.9076 0.0288 0.3582
10 B 0.9712 0.4076 0.8582
11 Ir 0.0941 0.8609 0.1420
12 Ir 0.1391 0.5941 0.6420
13 Ir 0.3609 0.9059 0.6420
14 Ir 0.4059 0.6391 0.1420
15 Ir 0.5941 0.3609 0.8580
16 Ir 0.6391 0.0941 0.3580
17 Ir 0.8609 0.4059 0.3580
18 Ir 0.9059 0.1391 0.8580

A plane-wave DFT calculation with PBE was carried out for a geometry-optimized YTh2Ni structure.

Energy of formation from the pure elements: -0.2004 eV per atom
SG: Pnma, No. 62
E above lowest polymorph: 19 meV/atom
Uncorrected energy: -111.55 eV for the cell shown
Crystal system: orthorhombic

Cell lengths 7.0234, 9.9921, 6.1711 Å; angles 90.00, 90.00, 90.00 degrees
Atoms (fractional coordinates):
1 Y 0.0458 0.2500 0.1575
2 Y 0.4542 0.7500 0.6575
3 Y 0.5458 0.2500 0.3425
4 Y 0.9542 0.7500 0.8425
5 Th 0.1836 0.0639 0.6543
6 Th 0.1836 0.4361 0.6543
7 Th 0.3164 0.5639 0.1543
8 Th 0.3164 0.9361 0.1543
9 Th 0.6836 0.0639 0.8457
10 Th 0.6836 0.4361 0.8457
11 Th 0.8164 0.5639 0.3457
12 Th 0.8164 0.9361 0.3457
13 Ni 0.1064 0.7500 0.3921
14 Ni 0.3936 0.2500 0.8921
15 Ni 0.6064 0.7500 0.1079
16 Ni 0.8936 0.2500 0.6079